The following is a DFT calculation (PBE+U) of an optimized crystal structure of LiMnF3.

Structure (extended XYZ):
```
20
Lattice="10.104 0.000 0.000 0.000 3.724 -0.081 0.000 0.167 7.101" Properties=species:S:1:pos:R:3 pbc="T T T"
F 0.893 2.892 4.086
F 3.557 0.993 2.640
F 1.447 2.826 1.438
F 5.945 1.083 6.483
F 3.606 2.910 4.988
F 4.159 2.808 0.536
F 8.609 2.815 0.829
F 8.658 1.066 5.581
F 1.496 1.076 6.190
F 6.548 2.899 4.380
F 9.211 1.000 2.933
F 6.499 0.982 2.031
Li 9.868 2.850 2.339
Li 0.236 1.041 4.680
Li 5.288 2.934 5.890
Li 4.816 0.957 1.130
Mn 2.264 2.949 6.624
Mn 7.316 1.027 3.946
Mn 7.840 0.943 0.396
Mn 2.788 2.865 3.073
```

Summary:
As for the total energy: -5.75 eV/atom.